Density functional theory data (GGA-PBE) for an optimized crystal structure of Ho3Mg3InHg2.

For the total energy, the calculation gives -2.784 eV per atom.

It has space group P-62m (No. 189), with a = 7.4557 Å, b = 7.4557 Å, c = 4.6032 Å, α = 90.00°, β = 90.00° and γ = 120.00°. The asymmetric unit holds Ho at (0.0000, 0.5704, 0.0000), Mg at (0.0000, 0.2452, 0.5000), In at (0.0000, 0.0000, 0.0000) and Hg at (0.3333, 0.6667, 0.5000).